# PBEsol Te2IrSe, optimized geometry
# Spin magnetization   0.00 μB/cell
# SG   No. 38
# D(E_F)   1.77 states/eV per cell
# Formation energy (no corrections)   -115 meV/atom
data_Te2IrSe
_chemical_formula_sum 'Te2 Ir1 Se1'
_space_group_name_H-M_alt 'P 1'
_space_group_IT_number 1
_space_group_name_Hall 'P 1'
_cell_length_a 3.802
_cell_length_b 5.118
_cell_length_c 5.118
_cell_angle_alpha 116.21
_cell_angle_beta 90.00
_cell_angle_gamma 90.00
loop_
_atom_site_label
_atom_site_fract_x
_atom_site_fract_y
_atom_site_fract_z
_atom_site_occupancy
Se1 0.500 0.305 0.695 1
Te1 0.500 0.700 0.300 1
Te2 0.000 0.000 0.000 1
Ir1 0.000 0.494 0.506 1